(1)
First-principles (PBE) data for a geometry-optimized LaIn5CuIr structure, as listed in OQMD.

POSCAR file:
```
LaIn5CuIr
1.0
5.4421 -3.5251 2.5297
-2.9837 -6.2859 0.1662
2.3092 4.9899 -4.2674
Cu In Ir La
1 5 1 1
Direct
0.2587 0.2587 0.0000
0.0051 0.0051 0.0000
0.6482 0.3429 0.3053
0.9528 0.6472 0.3055
0.3417 0.6472 0.6945
0.0376 0.3429 0.6947
0.7483 0.7483 0.0000
0.5076 0.0076 0.5000
```

Computed properties:
volume = 23.0 A^3/atom
raw total energy = -33.33 eV per cell
spin magnetization = 0.000 μB per atom

(2)
First-principles (PBE) data for a geometry-optimized LuInCuIr structure, as listed in OQMD.

POSCAR file:
```
LuInCuIr
1.0
2.0053 -4.1981 0.3897
-0.3727 -2.4043 3.9848
-2.6448 -3.8438 0.1686
Cu In Ir Lu
1 1 1 1
Direct
0.7500 0.7500 0.7500
0.0000 0.0000 0.0000
0.2500 0.2500 0.2500
0.5000 0.5000 0.5000
```

Computed properties:
volume = 18.0 A^3/atom
offset from the most stable computed form = 0.0 meV per atom
spin magnetization = 0.000 μB per atom

(3)
First-principles (PBE) data for a geometry-optimized LuInCuIr structure, as listed in OQMD.

POSCAR file:
```
LuInCuIr
1.0
0.0000 3.3112 3.3112
3.3112 0.0000 3.3112
3.3112 3.3112 0.0000
Cu In Ir Lu
1 1 1 1
Direct
0.7500 0.7500 0.7500
0.0000 0.0000 0.0000
0.5000 0.5000 0.5000
0.2500 0.2500 0.2500
```

Computed properties:
volume = 18.2 A^3/atom
offset from the most stable computed form = 273.8 meV per atom
spin magnetization = 0.000 μB per atom

(4)
First-principles (PBE) data for a geometry-optimized InCuNiIr structure, as listed in OQMD.

POSCAR file:
```
InCuNiIr
1.0
4.1809 -1.0708 -0.1172
1.3608 -3.6039 1.9494
1.2992 -3.3728 -2.3614
Cu In Ir Ni
1 1 1 1
Direct
0.7500 0.7500 0.7500
0.0000 0.0000 0.0000
0.5000 0.5000 0.5000
0.2500 0.2500 0.2500
```

Computed properties:
volume = 14.2 A^3/atom
offset from the most stable computed form = 0.0 meV per atom
spin magnetization = 0.000 μB per atom

(5)
First-principles (PBE) data for a geometry-optimized Tb3In3CuNiIr structure, as listed in OQMD.

POSCAR file:
```
Tb3In3CuNiIr
1.0
7.5144 0.0000 0.0000
-3.7572 6.5077 0.0000
0.0000 0.0000 3.8838
Cu In Ir Ni Tb
1 3 1 1 3
Direct
0.0000 0.0000 0.0000
0.2585 0.0078 0.5000
0.9922 0.2507 0.5000
0.7493 0.7415 0.5000
0.3333 0.6667 0.5000
0.6667 0.3333 0.5000
0.4105 0.4170 0.0000
0.0065 0.5895 0.0000
0.5830 0.9935 0.0000
```

Computed properties:
volume = 21.1 A^3/atom
raw total energy = -45.27 eV per cell
spin magnetization = 0.000 μB per atom

(6)
First-principles (PBE) data for a geometry-optimized Tb3In3CuIrPd structure, as listed in OQMD.

POSCAR file:
```
Tb3In3CuIrPd
1.0
7.6470 0.0000 0.0000
-3.8235 6.6225 0.0000
0.0000 0.0000 3.8670
Cu In Ir Pd Tb
1 3 1 1 3
Direct
0.0000 0.0000 0.0000
0.2533 0.0035 0.5000
0.9965 0.2498 0.5000
0.7502 0.7467 0.5000
0.3333 0.6667 0.5000
0.6667 0.3333 0.5000
0.4048 0.4193 0.0000
0.0145 0.5952 0.0000
0.5807 0.9855 0.0000
```

Computed properties:
volume = 21.8 A^3/atom
raw total energy = -45.97 eV per cell
spin magnetization = 0.000 μB per atom

Please write out number 6 again, unchanged.
First-principles (PBE) data for a geometry-optimized Tb3In3CuIrPd structure, as listed in OQMD.

POSCAR file:
```
Tb3In3CuIrPd
1.0
7.6470 0.0000 0.0000
-3.8235 6.6225 0.0000
0.0000 0.0000 3.8670
Cu In Ir Pd Tb
1 3 1 1 3
Direct
0.0000 0.0000 0.0000
0.2533 0.0035 0.5000
0.9965 0.2498 0.5000
0.7502 0.7467 0.5000
0.3333 0.6667 0.5000
0.6667 0.3333 0.5000
0.4048 0.4193 0.0000
0.0145 0.5952 0.0000
0.5807 0.9855 0.0000
```

Computed properties:
volume = 21.8 A^3/atom
raw total energy = -45.97 eV per cell
spin magnetization = 0.000 μB per atom